Record 1
TbPm2Y3Te6: relaxed, PBE-GGA.

Structure (extended XYZ):
```
12
Lattice="-1.4870 -3.9705 -1.0826 8.2660 -3.1602 0.2365 -2.3884 0.7093 9.5226" Properties=species:S:1:pos:R:3 pbc="T T T"
Te 1.2975 -2.1598 6.1388
Te 5.5327 -3.7715 6.2326
Te -1.1422 -2.6499 2.4438
Te 3.0931 -4.2616 2.5376
Te -1.8020 -4.0414 8.4537
Te 6.1926 -2.3799 0.2227
Y -1.4381 -3.3523 5.4265
Y 5.8286 -3.0690 3.2499
Y 3.3895 -3.5653 -0.4231
Pm 2.6694 -4.9290 5.5673
Pm 1.7211 -1.4923 3.1091
Tb -0.7435 -1.9852 -0.5413
```

Uncorrected formation energy   -1.344 eV per atom
Final energy   -5.709 eV per atom


Record 2
Sm2YIn9: relaxed, PBE-GGA.

Structure (extended XYZ):
```
12
Lattice="4.6710 0.0000 0.0000 0.0000 4.6710 0.0000 0.0000 0.0000 14.0109" Properties=species:S:1:pos:R:3 pbc="T T T"
In 0.0000 2.3355 11.7007
In 2.3355 2.3355 0.0000
In 2.3355 2.3355 4.6666
In 0.0000 2.3355 7.0054
In 2.3355 0.0000 7.0054
In 0.0000 2.3355 2.3102
In 2.3355 0.0000 2.3102
In 2.3355 2.3355 9.3442
In 2.3355 0.0000 11.7007
Sm 0.0000 0.0000 4.6589
Sm 0.0000 0.0000 9.3520
Y 0.0000 0.0000 0.0000
```

Formation energy   -448 meV per atom
Final energy   -3.827 eV per atom


Record 3
Ba2LiTa2: relaxed, PBE-GGA.

Structure (extended XYZ):
```
5
Lattice="-3.3149 3.3149 4.0734 3.3149 -3.3149 4.0734 3.3149 3.3149 -4.0734" Properties=species:S:1:pos:R:3 pbc="T T T"
Ta 0.0000 0.0000 5.1913
Ta 0.0000 0.0000 2.9555
Li 0.0000 0.0000 0.0000
Ba 3.3149 0.0000 2.0367
Ba 0.0000 3.3149 2.0367
```

Formation energy   1211 meV per atom
Final energy   -4.682 eV per atom


Record 4
Pr3Nd12Mg: relaxed, PBE-GGA.

Structure (extended XYZ):
```
16
Lattice="-4.7782 1.6918 -1.0241 0.6591 -1.1626 -4.9956 -7.4894 -19.0646 3.4486" Properties=species:S:1:pos:R:3 pbc="T T T"
Nd -4.3627 -12.5258 -0.3372
Nd -2.4675 -7.7014 -1.2099
Nd -8.9708 -15.9082 2.5186
Nd -7.0814 -11.0986 1.6486
Nd -7.7148 -14.1310 -0.4059
Nd -3.2968 -1.4646 -0.0941
Nd -0.5781 -2.8918 -2.0799
Nd -5.8042 -9.2677 -1.2856
Nd -5.1862 -6.2742 0.7759
Nd -6.2522 -17.3354 0.5328
Nd -3.8937 -4.4043 -2.1653
Nd -2.0596 0.2646 -3.0099
Mg 0.0000 0.0000 0.0000
Pr -1.8456 -4.6981 0.8498
Pr -3.7447 -9.5323 1.7243
Pr -5.6438 -14.3666 2.5987
```

Formation energy   12 meV per atom
Final energy   -4.560 eV per atom


Record 5
ThAlPd2: relaxed, PBE-GGA.

Structure (extended XYZ):
```
16
Lattice="-2.0554 4.0699 -3.8313 -6.2434 -0.2420 3.0923 2.1508 5.5855 4.7795" Properties=species:S:1:pos:R:3 pbc="T T T"
Pd -3.5904 3.3430 1.6452
Pd -6.0970 3.2459 2.8867
Pd -1.8004 4.7094 -2.4923
Pd -4.3070 4.6122 -1.2508
Pd -1.8410 4.8013 5.2913
Pd -2.5576 6.0705 2.3953
Pd -0.0510 6.1676 1.1538
Pd -4.3476 4.7041 6.5328
Al -4.7740 1.1322 2.2375
Al -4.0485 4.6179 3.9749
Al -2.0995 4.7956 0.0656
Al -1.3740 8.2813 1.8030
Th -0.7320 3.6300 2.7353
Th -2.1630 1.5415 -0.3174
Th -3.9850 7.8720 4.3579
Th -5.4160 5.7835 1.3052
```

Formation energy   -876 meV per atom
Final energy   -6.263 eV per atom


Record 6
Y2HgIrO8: relaxed, PBE-GGA.

Structure (extended XYZ):
```
12
Lattice="4.8950 -0.1375 -0.0007 -0.1246 4.8903 -0.0056 0.0063 0.0126 7.2257" Properties=species:S:1:pos:R:3 pbc="T T T"
O 1.4500 1.4396 3.6079
O 3.9675 0.7984 1.3515
O 3.9793 0.8136 5.8707
O 1.3672 1.3499 0.0039
O 0.7973 3.9518 1.3487
O 0.8091 3.9670 5.8679
O 3.4094 3.4155 7.2155
O 3.3266 3.3258 3.6115
Ir 0.0000 0.0000 0.0000
Y 2.3903 2.3833 1.8151
Y 2.3864 2.3821 5.4043
Hg 0.0031 0.0063 3.6129
```

Uncorrected formation energy   -1.665 eV per atom
Final energy   -6.811 eV per atom


Record 7
AlIn2Cl: relaxed, PBE-GGA.

Structure (extended XYZ):
```
4
Lattice="5.8982 0.0229 0.0000 5.0019 3.1257 -0.0001 -0.0020 -0.0003 5.3313" Properties=species:S:1:pos:R:3 pbc="T T T"
Cl 2.6813 0.7746 0.6671
In 8.2459 2.3822 3.3276
In 0.0482 0.0139 0.6677
Al 5.3716 1.5519 3.3343
```

Relative energy among the computed polymorphs   24 meV/atom
Uncorrected formation energy   -0.209 eV per atom
Final energy   -2.975 eV per atom


Record 8
LaCuNiMo2: relaxed, PBE-GGA.

Structure (extended XYZ):
```
5
Lattice="-0.5342 4.5186 -0.1097 -4.9562 -0.5368 2.0234 1.6885 0.3019 4.2158" Properties=species:S:1:pos:R:3 pbc="T T T"
Ni -1.9009 2.1419 3.0648
Mo -0.2671 2.2593 -0.0548
Mo 0.8442 0.1510 2.1079
Cu 0.0000 0.0000 0.0000
La -2.4781 -0.2684 1.0117
```

Relative energy among the computed polymorphs   338 meV/atom
Formation energy   1454 meV per atom
Final energy   -5.839 eV per atom


Record 9
PrSeF: relaxed, PBE-GGA.

Structure (extended XYZ):
```
3
Lattice="3.6383 0.0000 0.0000 0.0000 3.6383 0.0000 -1.8191 -1.8191 4.7022" Properties=species:S:1:pos:R:3 pbc="T T T"
Se 0.0000 0.0000 0.1123
Pr 1.8191 1.8191 1.7714
F 0.0000 0.0000 2.8185
```

Uncorrected formation energy   -2.355 eV per atom
Final energy   -5.733 eV per atom


Record 10
Tc3Ru: relaxed, PBE-GGA.

Structure (extended XYZ):
```
4
Lattice="2.6912 0.0000 0.4568 0.0000 7.7546 0.0000 -0.4568 0.0000 2.6912" Properties=species:S:1:pos:R:3 pbc="T T T"
Tc 1.1172 1.9277 1.5740
Tc 0.0000 3.8773 0.0000
Tc 1.1172 5.8269 1.5740
Ru 0.0000 0.0000 0.0000
```

Relative energy among the computed polymorphs   109 meV/atom
Formation energy   64 meV per atom
Final energy   -10.030 eV per atom


Record 11
Y6Sb3As2Se: relaxed, PBE-GGA.

Structure (extended XYZ):
```
12
Lattice="-2.1159 -3.6706 0.2004 3.1018 -1.3607 7.8290 -6.8284 6.4659 1.4497" Properties=species:S:1:pos:R:3 pbc="T T T"
As -1.5963 1.0903 3.1173
As -4.2462 0.3443 6.3618
Y -1.9719 -1.0345 5.1191
Y -3.3825 -0.4266 1.3599
Y 0.6907 -0.2914 1.9558
Y -3.8705 2.4691 4.3600
Y -2.4600 1.8612 8.1192
Y -6.5331 1.7260 7.5233
Sb -0.0143 0.3922 7.0351
Sb 0.4930 -2.5156 4.0147
Sb -5.8282 1.0424 2.4440
Se -1.0579 -1.8353 0.1002
```

Uncorrected formation energy   -1.408 eV per atom
Final energy   -6.736 eV per atom


Record 12
KPOsO2: relaxed, PBE-GGA.

Structure (extended XYZ):
```
5
Lattice="-0.2221 -3.4862 -1.7997 3.1513 -1.2323 1.9982 -3.7514 -2.1355 4.5993" Properties=species:S:1:pos:R:3 pbc="T T T"
O 1.5756 -0.6161 0.9991
O -0.1110 -1.7431 -0.8999
Os -0.4111 -3.4270 2.3989
P -1.8757 -1.0677 2.2996
K 0.0000 0.0000 0.0000
```

Relative energy among the computed polymorphs   2326 meV/atom
Uncorrected formation energy   1.969 eV per atom
Final energy   -3.562 eV per atom


Record 13
Nb8PtSe20: relaxed, PBE-GGA.

Structure (extended XYZ):
```
29
Lattice="-1.2116 -10.5762 -1.6549 -0.7727 -10.5959 1.7871 -19.3376 -2.6493 2.4508" Properties=species:S:1:pos:R:3 pbc="T T T"
Se -8.7919 -6.5209 1.0839
Se -12.7008 -13.4911 1.5426
Se -0.9779 -8.1232 0.0783
Se -16.8353 -21.6111 2.0235
Se -13.6581 -4.9450 1.7135
Se -2.0793 -4.5201 0.2394
Se -10.9270 -9.7801 1.3376
Se -19.2426 -19.3012 2.3437
Se -20.3440 -15.6981 2.5047
Se -8.6211 -10.3303 1.0404
Se -10.3949 -14.0412 1.2454
Se -5.0437 -17.3073 0.5444
Se -12.5300 -17.3005 1.4991
Se -7.5472 -15.0763 0.8764
Se -7.6638 -18.8763 0.8695
Se -13.7748 -8.7450 1.7066
Se -16.2783 -6.5140 2.0386
Se -3.4462 -10.6030 0.3789
Se -4.4866 -2.2102 0.5595
Se -17.8757 -13.2183 2.2041
Nb -10.9570 -4.7783 1.3700
Nb -1.8914 -1.9101 0.2303
Nb -5.9841 -6.3960 0.7266
Nb -19.4306 -21.9113 2.3527
Nb -4.9622 -14.6938 0.5489
Nb -16.3597 -9.1275 2.0341
Nb -15.3379 -17.4253 1.8564
Nb -10.3650 -19.0430 1.2130
Pt -0.9922 -10.5860 0.0661
```

Uncorrected formation energy   -0.770 eV per atom
Final energy   -6.159 eV per atom


Record 14
NaNF6: relaxed, PBE-GGA.

Structure (extended XYZ):
```
8
Lattice="4.9302 0.0110 0.0067 2.4640 4.2783 0.0039 2.4588 1.4178 4.4515" Properties=species:S:1:pos:R:3 pbc="T T T"
F 6.1258 1.1438 3.5440
F 2.8453 2.6535 3.5364
F 4.0518 0.9644 0.9191
F 5.8011 4.7426 3.5430
F 3.7271 4.5633 0.9181
F 7.0076 3.0535 0.9257
Na 4.9264 2.8535 2.2311
N 0.0000 0.0000 0.0000
```

Uncorrected formation energy   -0.652 eV per atom
Final energy   -3.261 eV per atom


Record 15
CoB3Pb: relaxed, PBE-GGA.

Structure (extended XYZ):
```
5
Lattice="3.9932 0.0000 0.0000 0.0000 3.9932 0.0000 0.0000 0.0000 3.9932" Properties=species:S:1:pos:R:3 pbc="T T T"
B 0.0000 1.9966 0.0000
B 0.0000 0.0000 1.9966
B 1.9966 0.0000 0.0000
Pb 1.9966 1.9966 1.9966
Co 0.0000 0.0000 0.0000
```

Relative energy among the computed polymorphs   0 meV/atom
Formation energy   1040 meV per atom
Final energy   -5.129 eV per atom


Record 16
Ac2InSe4: relaxed, PBE-GGA.

Structure (extended XYZ):
```
7
Lattice="-0.2737 -4.2018 1.6731 7.2467 -1.6316 -2.9122 -1.0960 5.0546 6.3799" Properties=species:S:1:pos:R:3 pbc="T T T"
Se 1.4651 -1.7130 2.0727
Se 0.2674 -0.1361 5.8370
Se 4.4118 0.9342 3.0681
Se 5.6096 -0.6426 -0.6962
Ac 1.3125 1.2295 3.3025
Ac 4.5645 -2.0083 1.8383
In 0.0000 0.0000 0.0000
```

Uncorrected formation energy   -1.437 eV per atom
Final energy   -4.993 eV per atom


Record 17
TaFe2Se: relaxed, PBE-GGA.

Structure (extended XYZ):
```
4
Lattice="3.1660 -0.0021 0.0000 0.0020 3.1660 0.0000 0.0000 0.0000 5.8660" Properties=species:S:1:pos:R:3 pbc="T T T"
Fe 1.5840 1.5820 1.2977
Fe 0.0000 0.0000 0.1951
Se 0.0000 0.0000 2.8953
Ta 1.5840 1.5820 4.4109
```

Uncorrected formation energy   0.035 eV per atom
Final energy   -8.031 eV per atom


Record 18
ScMo2Os: relaxed, PBE-GGA.

Structure (extended XYZ):
```
4
Lattice="-1.3008 2.4655 -0.1174 0.4700 -0.9778 -2.5705 -7.9338 -4.1791 0.1390" Properties=species:S:1:pos:R:3 pbc="T T T"
Os -3.9211 -2.0655 0.0687
Sc -6.2857 -2.3483 -1.2411
Mo -2.4328 -0.3188 -1.3086
Mo -0.0917 -0.0483 0.0016
```

Relative energy among the computed polymorphs   214 meV/atom
Formation energy   100 meV per atom
Final energy   -9.706 eV per atom


Record 19
CsNbBi2Se: relaxed, PBE-GGA.

Structure (extended XYZ):
```
5
Lattice="5.6413 0.0000 0.0000 0.0000 6.2416 0.0000 0.0000 0.0000 5.6413" Properties=species:S:1:pos:R:3 pbc="T T T"
Se 0.0000 0.0000 0.0000
Bi 0.0000 0.0000 2.8206
Bi 2.8206 0.0000 0.0000
Nb 2.8206 3.1208 2.8206
Cs 0.0000 3.1208 0.0000
```

Uncorrected formation energy   0.937 eV per atom
Final energy   -3.496 eV per atom


Record 20
Ta2FeB2Ru5: relaxed, PBE-GGA.

Structure (extended XYZ):
```
20
Lattice="-0.5551 -2.6050 -1.3791 8.3253 0.3865 -4.0814 3.7225 -4.5834 7.1592" Properties=species:S:1:pos:R:3 pbc="T T T"
Fe 0.0000 0.0000 0.0000
Fe 6.0239 -2.0984 1.5389
Ru 4.3599 -2.4478 -0.3929
Ru 7.1329 -4.3540 2.0915
Ru 3.8851 -1.1092 -2.7303
Ru 7.2635 -2.9933 -0.5313
Ru 9.7254 -5.2572 2.7538
Ru 1.5837 -3.5942 2.8900
Ru 1.7673 -1.5447 -1.0552
Ru 3.2388 -4.8780 4.6488
Ru 8.2539 -1.9239 -2.9501
Ru 4.2293 -3.8085 2.2299
Ta 2.6778 -1.4101 1.5856
Ta 9.3701 -2.7868 1.4921
Ta 6.2998 -0.5512 -1.4948
Ta 5.7480 -3.6457 4.5725
B 3.5881 -0.4272 -0.6375
B 8.4598 -3.7697 3.7152
B 3.3653 -2.8156 3.9638
B 8.6826 -1.3812 -0.8861
```

Formation energy   -419 meV per atom
Final energy   -9.609 eV per atom


Number 1: spin magnetization 0.0 μB/cell, N(E_F) 6.587 states/eV/f.u.. Number 2: spin magnetization 0.0 μB/cell, N(E_F) 4.489 states/eV/f.u.. Number 3: spin magnetization 0.0 μB/cell, N(E_F) 3.412 states/eV/f.u.. Number 4: spin magnetization 0.0 μB/cell, N(E_F) 23.231 states/eV/f.u.. Number 5: spin magnetization 0.0 μB/cell, N(E_F) 2.398 states/eV/f.u.. Number 6: spin magnetization 0.7 μB/cell, N(E_F) 4.289 states/eV/f.u.. Number 7: spin magnetization 0.0 μB/cell, N(E_F) 1.284 states/eV/f.u.. Number 8: spin magnetization 0.6 μB/cell, N(E_F) 9.219 states/eV/f.u.. Number 9: spin magnetization 0.0 μB/cell, N(E_F) 0.842 states/eV/f.u.. Number 10: spin magnetization 0.0 μB/cell, N(E_F) 4.716 states/eV/f.u.. Number 11: spin magnetization 0.0 μB/cell, N(E_F) 2.187 states/eV/f.u.. Number 12: spin magnetization 3.1 μB/cell, N(E_F) 5.340 states/eV/f.u.. Number 13: spin magnetization 0.0 μB/cell, N(E_F) 18.928 states/eV/f.u.. Number 14: spin magnetization 0.0 μB/cell, N(E_F) 0.000 states/eV/f.u.. Number 15: spin magnetization 0.0 μB/cell, N(E_F) 2.741 states/eV/f.u.. Number 16: spin magnetization 0.0 μB/cell, N(E_F) 4.110 states/eV/f.u.. Number 17: spin magnetization 4.9 μB/cell, N(E_F) 3.787 states/eV/f.u.. Number 18: spin magnetization 0.0 μB/cell, N(E_F) 3.200 states/eV/f.u.. Number 19: spin magnetization 3.5 μB/cell, N(E_F) 3.627 states/eV/f.u.. Number 20: spin magnetization 6.8 μB/cell, N(E_F) 5.252 states/eV/f.u..